This record from Alexandria describes a relaxed structure of GaPPtO2. The functional is GGA-PBE.

abc: 3.867 3.867 5.122
angles: 90.00 90.00 90.00
Space group P4/mmm (No. 123)
Unique sites:
1 Ga 0.000 0.000 0.000 [1 per cell]
2 P 0.500 0.500 0.000 [1 per cell]
3 Pt 0.500 0.500 0.500 [1 per cell]
4 O 0.000 0.500 0.500 [2 per cell]

calculated volume = 77 Å³/f.u.
distance to the lowest polymorph of the same formula = 0.226 eV/atom
raw total energy = -4.820 eV per atom
crystal system = tetragonal
E_form (uncorrected) = 0.295 eV per formula unit


This record from Alexandria describes a relaxed structure of RbGaP2O. The functional is GGA-PBE.

abc: 6.331 6.331 4.847
angles: 90.00 90.00 90.00
Space group P4/mmm (No. 123)
Unique sites:
1 Rb 0.000 0.000 0.000 [1 per cell]
2 Ga 0.500 0.500 0.500 [1 per cell]
3 P 0.000 0.500 0.000 [2 per cell]
4 O 0.000 0.000 0.500 [1 per cell]

calculated volume = 194 Å³/f.u.
distance to the lowest polymorph of the same formula = 1.214 eV/atom
raw total energy = -2.515 eV per atom
crystal system = tetragonal
E_form (uncorrected) = 7.199 eV per formula unit


What is the distance to the lowest polymorph of the same formula in the first record? 0.226 eV/atom